First-principles (PBE) data for Zn3Te after structural relaxation, as listed in Alexandria.

The structure in POSCAR format:
```
Zn3Te
1.0
-0.977 1.447 -5.681
-4.592 -3.769 -0.170
-3.644 4.361 1.738
Zn Te
3 1
direct
0.000 0.000 0.500
0.000 0.500 0.000
0.500 0.000 0.000
0.000 0.000 0.000
```

Output
Uncorrected formation energy, meV per atom: 690.5
N(E_F), states/eV/atom: 1.5878